# YMnNiF2 | Alexandria | PBE with a Hubbard U | optimized geometry
# Electronic total energy in eV per atom: -5.169
data_YMnNiF2
_symmetry_space_group_name_H-M 'P 1'
_symmetry_Int_Tables_number 1
_cell_length_a 4.1769
_cell_length_b 4.1769
_cell_length_c 6.7408
_cell_angle_alpha 90.00
_cell_angle_beta 90.00
_cell_angle_gamma 90.00
loop_
_symmetry_equiv_pos_as_xyz
'x,y,z'
loop_
_atom_site_label
_atom_site_type_symbol
_atom_site_fract_x
_atom_site_fract_y
_atom_site_fract_z
Y1 Y 0.0000 0.0000 0.0000
Mn1 Mn 0.0000 0.0000 0.5000
Ni1 Ni 0.5000 0.5000 0.5000
F1 F 0.0000 0.5000 0.0000
F2 F 0.5000 0.0000 0.0000